PBE NbRuSCl2, relaxed; raw formation energy = 0.557 eV/atom; spin magnetization = 2.77 μB per formula unit; electronic total energy = -0.3584 Ry per atom
1.0
4.762 0.000 0.000
0.000 4.762 0.000
0.000 0.000 4.572
Nb Ru S Cl
1 1 1 2
direct
0.000 0.000 0.000
0.500 0.500 0.500
0.500 0.500 0.000
0.000 0.500 0.500
0.500 0.000 0.500



PBE NbRuS2Cl, relaxed; raw formation energy = 0.391 eV/atom; spin magnetization = 3.02 μB per formula unit; electronic total energy = -0.4041 Ry per atom
1.0
4.821 0.000 0.000
0.000 4.821 0.000
0.000 0.000 4.812
Nb Ru S Cl
1 1 2 1
direct
0.000 0.000 0.000
0.500 0.500 0.500
0.000 0.500 0.000
0.500 0.000 0.000
0.000 0.000 0.500



PBE NbRuSCl2, relaxed; raw formation energy = 0.386 eV/atom; spin magnetization = 3.44 μB per formula unit; electronic total energy = -0.3710 Ry per atom
1.0
4.882 0.000 0.000
0.000 4.882 0.000
0.000 0.000 4.826
Nb Ru S Cl
1 1 1 2
direct
0.000 0.000 0.000
0.500 0.500 0.500
0.000 0.000 0.500
0.000 0.500 0.000
0.500 0.000 0.000